VASP calculation (PBE) on Ba2Sc2Tl after structural relaxation.

The total energy comes out at -36.5 eV/cell. As for the density of states at the Fermi level: 16.0 states/eV/cell. Its formation energy from the elements is 12 kJ per mole of atoms. The value obtained for the magnetization is 0.0 Bohr magnetons per cell.

It has space group P4/mbm (No. 127), with a = 7.882 Å, b = 7.882 Å, c = 5.811 Å, α = 90.00°, β = 90.00° and γ = 90.00°. The asymmetric unit holds Ba at (0.172, 0.328, 0.000), Sc at (0.145, 0.645, 0.500) and Tl at (0.000, 0.000, 0.500).